The following is a GGA-PBE calculation of PaMnTl2Se4 after structural relaxation, from the Alexandria database.

Geometry as extended XYZ:
```
8
Lattice="4.042 0.000 0.000 0.000 6.587 -1.471 0.000 -4.617 9.387" Properties=species:S:1:pos:R:3 pbc="T T T"
Pa 0.000 0.000 0.000
Mn 2.021 3.294 -0.735
Tl 2.021 -2.308 4.694
Tl 0.000 0.985 3.958
Se 2.021 1.499 1.330
Se 2.021 0.471 6.586
Se 0.000 -2.679 7.382
Se 0.000 4.650 0.534
```

Output
M_tot	5.285	μB per cell
E_form (uncorrected)	-0.759	eV/atom
Fermi-level density of states	4.035	states/eV/cell
final energy	-5.426	eV/atom


The following is a GGA-PBE calculation of Pa2MnTl3Se6 after structural relaxation, from the Alexandria database.

Geometry as extended XYZ:
```
12
Lattice="-0.543 -7.027 -0.080 6.096 3.078 -1.746 0.467 1.052 8.239" Properties=species:S:1:pos:R:3 pbc="T T T"
Pa 3.879 -0.297 -1.190
Pa 1.674 -3.653 -0.636
Mn 0.000 0.000 0.000
Tl 5.214 1.905 2.653
Tl 0.806 -4.803 3.760
Tl 3.010 -1.449 3.206
Se 3.606 -3.833 5.450
Se 4.243 -2.739 0.298
Se 2.414 0.935 0.963
Se 5.734 -0.594 4.915
Se 1.777 -0.159 6.115
Se 0.286 -2.304 1.497
```

Output
M_tot	7.727	μB per cell
E_form (uncorrected)	-0.829	eV/atom
Fermi-level density of states	11.801	states/eV/cell
final energy	-5.509	eV/atom


The following is a GGA-PBE calculation of PaMn2Tl3Se6 after structural relaxation, from the Alexandria database.

Geometry as extended XYZ:
```
12
Lattice="6.883 0.000 0.004 -3.440 5.962 0.004 -1.152 -1.995 7.839" Properties=species:S:1:pos:R:3 pbc="T T T"
Pa 0.000 0.000 0.000
Mn -0.003 3.977 0.004
Mn 3.446 1.985 0.004
Tl -2.323 3.986 3.923
Tl 4.614 -0.020 3.923
Tl 1.145 1.983 3.923
Se 3.462 1.943 6.310
Se 2.270 3.930 1.532
Se -1.171 2.024 1.537
Se -0.047 3.970 6.310
Se 0.021 0.036 6.314
Se 2.338 -0.003 1.537
```

Output
M_tot	10.000	μB per cell
E_form (uncorrected)	-0.713	eV/atom
final energy	-5.366	eV/atom


The following is a GGA-PBE calculation of PaMnTlSe4 after structural relaxation, from the Alexandria database.

Geometry as extended XYZ:
```
14
Lattice="-4.790 -4.350 2.043 2.437 -4.638 -4.165 7.401 -0.943 5.379" Properties=species:S:1:pos:R:3 pbc="T T T"
Pa 1.450 -7.247 0.851
Pa 3.597 -2.685 2.405
Mn 3.155 -4.788 -0.890
Mn 1.893 -5.144 4.147
Tl 5.285 -7.577 3.462
Tl -0.238 -2.355 -0.205
Se 6.336 -3.174 1.710
Se -2.437 -4.571 3.510
Se -1.289 -6.757 1.547
Se 7.485 -5.361 -0.254
Se 0.903 -5.568 -1.339
Se 4.144 -4.364 4.595
Se 4.011 -6.036 1.002
Se 1.036 -3.896 2.255
```

Output
M_tot	10.168	μB per cell
E_form (uncorrected)	-0.856	eV/atom
Fermi-level density of states	2.306	states/eV/cell
final energy	-5.852	eV/atom